{
  "formula": "AlCuAg",
  "functional": "PBEsol",
  "state": "relaxed",
  "relative_energy_mev_per_atom": 230.6,
  "mass_density_g_cm3": 6.7,
  "e_form_ev_per_atom": 0.11,
  "cell": [[-3.3325, 2.4223, -0.1211], [-3.4012, -1.2702, -1.9510], [-3.3608, -1.0090, 2.1622]],
  "species": ["Ag", "Cu", "Al"],
  "frac_coords": [[0.0000, 0.0000, 0.0000], [0.2500, 0.2500, 0.2500], [0.5000, 0.5000, 0.5000]]
}

---

{
  "formula": "AlCu2Ag",
  "functional": "PBEsol",
  "state": "relaxed",
  "mass_density_g_cm3": 8.1,
  "e_form_ev_per_atom": -0.08,
  "cell": [[-1.5067, 1.0267, 2.4327], [-0.1793, -2.8342, 1.0851], [5.0342, 0.7535, 2.8001]],
  "species": ["Ag", "Al", "Cu", "Cu"],
  "frac_coords": [[0.0000, 0.0000, 0.4950], [0.5000, 0.5000, 0.7765], [0.5000, 0.5000, 0.2223], [0.0000, 0.0000, 0.0063]]
}

---

{
  "formula": "AlCu2Ag",
  "functional": "PBEsol",
  "state": "relaxed",
  "mass_density_g_cm3": 8.1,
  "e_form_ev_per_atom": -0.10,
  "cell": [[-1.2575, 0.5802, -2.5122], [-0.0462, -4.1471, -0.9347], [-3.9685, -0.3839, 1.8994]],
  "species": ["Cu", "Cu", "Ag", "Al"],
  "frac_coords": [[0.8751, 0.0000, 0.9395], [0.8750, 0.5000, 0.2982], [0.3751, 0.0000, 0.4385], [0.3748, 0.5000, 0.8239]]
}

---

{
  "formula": "Al2CuAg",
  "functional": "PBEsol",
  "state": "relaxed",
  "relative_energy_mev_per_atom": 40.7,
  "mass_density_g_cm3": 6.4,
  "e_form_ev_per_atom": -0.05,
  "cell": [[4.0138, 0.0000, 0.0000], [0.0000, 4.0138, 0.0000], [-2.0069, -2.0069, 3.6371]],
  "species": ["Cu", "Al", "Al", "Ag"],
  "frac_coords": [[0.5000, 0.5000, 0.0000], [0.2500, 0.7500, 0.5000], [0.7500, 0.2500, 0.5000], [0.0000, 0.0000, 0.0000]]
}

---

{
  "formula": "AlCu2Ag",
  "functional": "PBEsol",
  "state": "relaxed",
  "mass_density_g_cm3": 8.1,
  "e_form_ev_per_atom": -0.09,
  "cell": [[-2.2791, -1.5632, -0.9374], [-0.6838, -1.4183, 4.0279], [-1.1895, 4.6098, -0.2526]],
  "species": ["Cu", "Cu", "Ag", "Al"],
  "frac_coords": [[0.2611, 0.7621, 0.5221], [0.9978, 0.9993, 0.9955], [0.5013, 0.5035, 0.0026], [0.7399, 0.2352, 0.4798]]
}

---

{
  "formula": "AlCuAg2",
  "functional": "PBEsol",
  "state": "relaxed",
  "mass_density_g_cm3": 8.3,
  "e_form_ev_per_atom": 0.08,
  "cell": [[-1.9496, -1.9248, -0.4625], [1.9468, -0.5952, 1.8908], [-5.0662, 3.6055, 6.3514]],
  "species": ["Al", "Ag", "Ag", "Cu"],
  "frac_coords": [[0.5000, 0.5000, 0.5000], [0.0000, 0.0000, 0.2453], [0.0000, 0.0000, 0.7547], [0.5000, 0.5000, 0.0000]]
}

---

{
  "formula": "Al2CuAg",
  "functional": "PBEsol",
  "state": "relaxed",
  "relative_energy_mev_per_atom": 0.0,
  "mass_density_g_cm3": 6.4,
  "e_form_ev_per_atom": -0.10,
  "cell": [[-1.2220, -0.4625, -2.4643], [-1.4739, -2.0852, 1.1222], [-5.4668, 4.8346, 1.8035]],
  "species": ["Al", "Al", "Cu", "Ag"],
  "frac_coords": [[0.0000, 0.0000, 0.7767], [0.0000, 0.0000, 0.2233], [0.5000, 0.5000, 0.0000], [0.5000, 0.5000, 0.5000]]
}

---

{
  "formula": "AlCuAg2",
  "functional": "PBEsol",
  "state": "relaxed",
  "mass_density_g_cm3": 8.6,
  "e_form_ev_per_atom": -0.07,
  "cell": [[3.0186, 0.0000, 0.0000], [0.0000, 4.4375, 0.0000], [-1.5093, -2.2187, 4.4190]],
  "species": ["Cu", "Ag", "Ag", "Al"],
  "frac_coords": [[0.2381, 0.7381, 0.4761], [0.9878, 0.9878, 0.9757], [0.7603, 0.2603, 0.5206], [0.5138, 0.5138, 0.0276]]
}

---

{
  "formula": "AlCuAg2",
  "functional": "PBEsol",
  "state": "relaxed",
  "mass_density_g_cm3": 8.5,
  "e_form_ev_per_atom": -0.05,
  "cell": [[-0.0335, -0.9732, 2.7040], [-3.3337, -3.1066, -1.1594], [3.8539, -1.8060, -2.1296]],
  "species": ["Al", "Ag", "Ag", "Cu"],
  "frac_coords": [[0.0000, 0.5000, 0.0000], [0.7495, 0.7512, 0.4990], [0.2505, 0.2488, 0.5010], [0.5000, 0.0000, 0.0000]]
}

---

{
  "formula": "Al2CuAg",
  "functional": "PBEsol",
  "state": "relaxed",
  "relative_energy_mev_per_atom": 22.9,
  "mass_density_g_cm3": 6.3,
  "e_form_ev_per_atom": -0.07,
  "cell": [[-0.1766, -2.3680, -1.5050], [4.3209, 1.3724, -0.0406], [-0.1355, -2.6658, 4.2103]],
  "species": ["Ag", "Al", "Al", "Cu"],
  "frac_coords": [[0.0000, 0.0000, 0.5000], [0.7574, 0.5147, 0.7659], [0.2426, 0.4853, 0.2341], [0.5000, 0.0000, 0.0000]]
}

---

{
  "formula": "Al2CuAg",
  "functional": "PBEsol",
  "state": "relaxed",
  "relative_energy_mev_per_atom": 14.0,
  "mass_density_g_cm3": 6.3,
  "e_form_ev_per_atom": -0.08,
  "cell": [[-0.6753, 2.4976, -1.1614], [-2.7191, 0.6593, -0.4637], [-1.6089, 4.5145, 7.1812]],
  "species": ["Al", "Al", "Cu", "Ag"],
  "frac_coords": [[0.7445, 0.7445, 0.7665], [0.2555, 0.2555, 0.2335], [0.0000, 0.0000, 0.0000], [0.5000, 0.5000, 0.5000]]
}

---

{
  "formula": "Al2CuAg",
  "functional": "PBEsol",
  "state": "relaxed",
  "relative_energy_mev_per_atom": 4.8,
  "mass_density_g_cm3": 6.3,
  "e_form_ev_per_atom": -0.09,
  "cell": [[3.2989, 0.0000, 0.0000], [0.0000, 3.2989, 0.0000], [0.0000, 0.0000, 5.4160]],
  "species": ["Al", "Al", "Ag", "Cu"],
  "frac_coords": [[0.0000, 0.0000, 0.9941], [0.5000, 0.5000, 0.2748], [0.5000, 0.5000, 0.7556], [0.0000, 0.0000, 0.4755]]
}

---

{
  "formula": "AlCuAg2",
  "functional": "PBEsol",
  "state": "relaxed",
  "mass_density_g_cm3": 8.6,
  "e_form_ev_per_atom": -0.08,
  "cell": [[2.9561, 0.0000, 0.0000], [0.0000, 2.9561, 0.0000], [0.0000, 0.0000, 6.7663]],
  "species": ["Cu", "Al", "Ag", "Ag"],
  "frac_coords": [[0.5000, 0.5000, 0.7293], [0.0000, 0.0000, 0.5265], [0.5000, 0.5000, 0.2679], [0.0000, 0.0000, 0.9764]]
}

---

{
  "formula": "AlCuAg",
  "functional": "PBEsol",
  "state": "relaxed",
  "relative_energy_mev_per_atom": 0.0,
  "mass_density_g_cm3": 7.8,
  "e_form_ev_per_atom": -0.12,
  "cell": [[3.1281, 0.0001, -0.0015], [0.0002, 3.1302, -0.0013], [-1.5664, -1.5669, 4.3211]],
  "species": ["Ag", "Al", "Cu"],
  "frac_coords": [[0.9994, 0.9993, 0.9990], [0.6784, 0.6784, 0.3569], [0.3224, 0.3224, 0.6441]]
}

---

{
  "formula": "TaAlCuAg2",
  "functional": "PBEsol",
  "state": "relaxed",
  "mass_density_g_cm3": 6.5,
  "e_form_ev_per_atom": 1.75,
  "cell": [[-3.2425, 3.7651, -0.0690], [-3.6824, -3.1511, 1.0979], [0.8027, 0.7818, 4.9362]],
  "species": ["Cu", "Ag", "Ag", "Ta", "Al"],
  "frac_coords": [[0.5000, 0.5000, 0.5000], [0.0000, 0.5000, 0.0000], [0.5000, 0.0000, 0.0000], [0.0000, 0.0000, 0.0000], [0.0000, 0.0000, 0.5000]]
}

---

{
  "formula": "AlCuTc2Ag",
  "functional": "PBEsol",
  "state": "relaxed",
  "mass_density_g_cm3": 6.4,
  "e_form_ev_per_atom": 2.01,
  "cell": [[-2.3346, 1.3363, 3.5521], [2.9989, -2.3727, 2.8636], [2.7503, 3.8911, 0.3438]],
  "species": ["Tc", "Tc", "Cu", "Al", "Ag"],
  "frac_coords": [[0.0000, 0.5000, 0.0000], [0.0000, 0.0000, 0.5000], [0.5000, 0.0000, 0.0000], [0.5000, 0.5000, 0.5000], [0.0000, 0.0000, 0.0000]]
}

---

{
  "formula": "DyAlAg2",
  "functional": "PBEsol",
  "state": "relaxed",
  "mass_density_g_cm3": 8.9,
  "e_form_ev_per_atom": -0.36,
  "cell": [[4.7498, 0.0000, 0.0000], [2.3749, 4.1134, 0.0000], [2.3749, 1.3711, 3.8782]],
  "species": ["Ag", "Ag", "Al", "Dy"],
  "frac_coords": [[0.7500, 0.7500, 0.7500], [0.2500, 0.2500, 0.2500], [0.5000, 0.5000, 0.5000], [0.0000, 0.0000, 0.0000]]
}

---

{
  "formula": "EuAl3Ag2",
  "functional": "PBEsol",
  "state": "relaxed",
  "mass_density_g_cm3": 6.5,
  "e_form_ev_per_atom": -0.35,
  "cell": [[4.3454, 0.0000, 0.0000], [0.0000, 5.5159, 0.0000], [0.0000, -2.7579, 4.7769]],
  "species": ["Ag", "Ag", "Al", "Al", "Al", "Eu"],
  "frac_coords": [[0.0000, 0.6667, 0.3333], [0.0000, 0.3333, 0.6667], [0.5000, 0.0000, 0.5000], [0.5000, 0.5000, 0.5000], [0.5000, 0.5000, 0.0000], [0.0000, 0.0000, 0.0000]]
}

---

{
  "formula": "Eu2Al5Ag5",
  "functional": "PBEsol",
  "state": "relaxed",
  "mass_density_g_cm3": 7.0,
  "e_form_ev_per_atom": -0.33,
  "cell": [[4.3969, 0.0000, 0.0000], [0.0000, 5.4432, 0.0000], [0.0000, 0.0000, 9.6401]],
  "species": ["Eu", "Eu", "Ag", "Ag", "Ag", "Ag", "Ag", "Al", "Al", "Al", "Al", "Al"],
  "frac_coords": [[0.0000, 0.0000, 0.5000], [0.0000, 0.5000, 0.0000], [0.0000, 0.0000, 0.8333], [0.0000, 0.5000, 0.3215], [0.0000, 0.5000, 0.6785], [0.5000, 0.5000, 0.5000], [0.0000, 0.0000, 0.1667], [0.5000, 0.0000, 0.0000], [0.5000, 0.7526, 0.2552], [0.5000, 0.7526, 0.7448], [0.5000, 0.2474, 0.7448], [0.5000, 0.2474, 0.2552]]
}

---

{
  "formula": "Al3AgF",
  "functional": "PBEsol",
  "state": "relaxed",
  "relative_energy_mev_per_atom": 197.7,
  "mass_density_g_cm3": 3.2,
  "formation_energy_uncorrected_mev_per_atom": 69,
  "cell": [[4.7763, 0.0000, 0.0000], [0.0000, 4.7763, 0.0000], [0.0000, 0.0000, 4.7763]],
  "species": ["Al", "Al", "Al", "Ag", "F"],
  "frac_coords": [[0.5000, 0.0000, 0.0000], [0.0000, 0.0000, 0.5000], [0.0000, 0.5000, 0.0000], [0.0000, 0.0000, 0.0000], [0.5000, 0.5000, 0.5000]]
}